Density functional theory data (PBE-GGA) for crystalline Sm4TlSn at its relaxed geometry.

Lattice parameters (Å, degrees): 5.613 6.532 11.416 90.00 104.23 90.00
Fractional positions:
Sm 0.435 0.822 0.871
Sm 0.292 0.068 0.584
Sm 0.872 0.322 0.743
Sm 0.292 0.577 0.583
Sm 0.565 0.322 0.129
Sm 0.708 0.568 0.416
Sm 0.708 0.077 0.417
Sm 0.128 0.822 0.257
Tl 0.574 0.822 0.147
Tl 0.426 0.322 0.853
Sn 0.842 0.822 0.685
Sn 0.158 0.322 0.315

Results
The density of states at the Fermi level is 1.4003 states/eV per atom. Its total energy is -4.44 eV/atom. The value obtained for the formation energy is -1.42 eV/f.u.

Density functional theory data (PBE-GGA) for crystalline CuSi at its relaxed geometry.

Lattice parameters (Å, degrees): 2.656 2.656 4.262 90.00 90.00 120.00
Fractional positions:
Cu 0.000 0.000 0.000
Si 0.667 0.333 0.500

Results
The density of states at the Fermi level is 0.3138 states/eV per atom. The value obtained for the formation energy without anion corrections is 0.2124 eV per atom. Its total energy is -4.55 eV/atom.

Density functional theory data (PBE-GGA) for crystalline SnBiPb2I at its relaxed geometry.

Lattice parameters (Å, degrees): 6.086 6.026 6.086 90.00 90.00 90.00
Fractional positions:
Bi 0.000 0.000 0.000
Pb 0.500 0.000 0.000
Pb 0.000 0.000 0.500
Sn 0.500 0.500 0.500
I 0.000 0.500 0.000

Results
The density of states at the Fermi level is 1.3207 states/eV per atom. The value obtained for the formation energy without anion corrections is 0.5936 eV per atom. Its total energy is -2.78 eV/atom.